Record 1
DFT (GGA-PBE) results for crystalline BaAlNi at its relaxed geometry.

Lattice parameters (Å, degrees): 4.861 4.861 4.861 60.00 60.00 60.00
Sites, in units of the cell vectors:
Ni: 0.250 0.250 0.250
Ba: 0.500 0.500 0.500
Al: 0.000 0.000 0.000

Values from the calculation:
* magnetization: 0.00 μB per formula unit
* crystal system: cubic

---

Record 2
DFT (GGA-PBE) results for crystalline BaAl2Ni at its relaxed geometry.

Lattice parameters (Å, degrees): 4.189 4.188 5.212 90.00 90.00 90.00
Sites, in units of the cell vectors:
Ba: 0.500 0.000 0.500
Al: 0.000 0.000 0.000
Al: 0.500 0.500 0.000
Ni: 0.000 0.500 0.500

Values from the calculation:
* magnetization: 0.00 μB per formula unit
* crystal system: tetragonal

---

Record 3
DFT (GGA-PBE) results for crystalline BaAlNi2 at its relaxed geometry.

Lattice parameters (Å, degrees): 6.268 6.268 6.268 39.09 39.09 39.09
Sites, in units of the cell vectors:
Ba: 0.751 0.751 0.751
Al: 0.566 0.566 0.566
Ni: 0.246 0.246 0.246
Ni: 0.937 0.937 0.937

Values from the calculation:
* magnetization: 0.00 μB per formula unit
* crystal system: trigonal

---

Record 4
DFT (GGA-PBE) results for crystalline BaAl2Ni at its relaxed geometry.

Lattice parameters (Å, degrees): 5.027 6.378 3.181 77.61 84.93 111.84
Sites, in units of the cell vectors:
Al: 0.500 0.000 0.500
Al: 0.000 0.000 0.000
Ni: 0.500 0.500 0.000
Ba: 0.000 0.500 0.500

Values from the calculation:
* magnetization: 0.00 μB per formula unit
* crystal system: monoclinic

---

Number 1: formation energy from the elements 229 meV/atom. Number 2: formation energy from the elements 319 meV/atom. Number 3: formation energy from the elements -222 meV/atom. Number 4: formation energy from the elements 463 meV/atom.